Here is VAg2I6 after structural relaxation from Alexandria. Energies are from PBE.

Summary:
The formation energy without anion corrections comes out at -2.4 eV per formula unit. The calculation puts the calculated density at 4.87 g cm⁻³. As for the uncorrected energy: -2.95 eV/atom.

Cell lengths 14.688, 14.088, 6.867 Å; angles 90.00, 99.20, 90.00 degrees
Space group C2/c (No. 15)
Inequivalent atoms, fractional coordinates:
V  0.000  0.084  0.250 x4
Ag  0.074  0.402  0.127 x8
I  0.105  0.063  0.613 x8
I  0.119  0.207  0.136 x8
I  0.121  0.409  0.564 x8

Here is AgWI3 after structural relaxation from Alexandria. Energies are from PBE.

Summary:
The formation energy without anion corrections comes out at 3.7 eV per formula unit. The relative energy among the computed polymorphs is 0.000 eV/atom. The calculation puts the calculated density at 6.31 g cm⁻³. As for the uncorrected energy: -3.36 eV/atom.

Cell lengths 5.614, 5.614, 5.614 Å; angles 90.00, 90.00, 90.00 degrees
Space group Pm-3m (No. 221)
Inequivalent atoms, fractional coordinates:
Ag  0.000  0.000  0.000 x1
W  0.500  0.500  0.500 x1
I  0.000  0.500  0.500 x3

Here is YAgI2 after structural relaxation from Alexandria. Energies are from PBE.

Summary:
The formation energy without anion corrections comes out at -1.6 eV per formula unit. The relative energy among the computed polymorphs is 0.000 eV/atom. The calculation puts the calculated density at 6.62 g cm⁻³. As for the uncorrected energy: -3.51 eV/atom.

Cell lengths 7.675, 7.675, 7.675 Å; angles 90.00, 90.00, 90.00 degrees
Space group Fm-3m (No. 225)
Inequivalent atoms, fractional coordinates:
Y  0.000  0.000  0.000 x4
Ag  0.000  0.000  0.500 x4
I  0.250  0.250  0.250 x8

Here is YAgI3 after structural relaxation from Alexandria. Energies are from PBE.

Summary:
The formation energy without anion corrections comes out at -2.8 eV per formula unit. The relative energy among the computed polymorphs is 0.000 eV/atom. The calculation puts the calculated density at 4.41 g cm⁻³. As for the uncorrected energy: -3.34 eV/atom.

Cell lengths 6.015, 6.015, 6.015 Å; angles 90.00, 90.00, 90.00 degrees
Space group Pm-3m (No. 221)
Inequivalent atoms, fractional coordinates:
Y  0.000  0.000  0.000 x1
Ag  0.500  0.500  0.500 x1
I  0.000  0.000  0.500 x3

Here is YAgI6 after structural relaxation from Alexandria. Energies are from PBE.

Summary:
The formation energy without anion corrections comes out at -5.3 eV per formula unit. The calculation puts the calculated density at 3.81 g cm⁻³. As for the uncorrected energy: -2.99 eV/atom.

Cell lengths 7.182, 7.927, 7.999 Å; angles 79.88, 68.82, 83.60 degrees
Space group P-1 (No. 2)
Inequivalent atoms, fractional coordinates:
Y  0.000  0.000  0.000 x1
Ag  0.500  0.500  0.000 x1
I  0.055  0.120  0.592 x2
I  0.204  0.329  0.840 x2
I  0.409  0.817  0.855 x2

Here is YAgI2 after structural relaxation from Alexandria. Energies are from PBE.

Summary:
The formation energy without anion corrections comes out at -0.6 eV per formula unit. The relative energy among the computed polymorphs is 0.254 eV/atom. The calculation puts the calculated density at 4.71 g cm⁻³. As for the uncorrected energy: -3.26 eV/atom.

Cell lengths 7.335, 7.335, 11.800 Å; angles 90.00, 90.00, 90.00 degrees
Space group I-42d (No. 122)
Inequivalent atoms, fractional coordinates:
Y  0.000  0.000  0.000 x4
Ag  0.000  0.000  0.500 x4
I  0.236  0.250  0.625 x8

uncorrected energy of number 1 (VAg2I6)? -2.95 eV/atom